Ca2InB | meta-GGA SCAN | PBEsol geometry

Cell and atoms, written as extended XYZ:
```
4
Lattice="0.0000 3.5466 3.5466 3.5466 0.0000 3.5466 3.5466 3.5466 0.0000" Properties=species:S:1:pos:R:3 pbc="T T T"
Ca 1.7733 1.7733 1.7733
Ca 5.3199 5.3199 5.3199
In 0.0000 0.0000 0.0000
B 3.5466 3.5466 3.5466
```

Summary:
formation enthalpy at 0 K: 0.218 eV per atom



ReMo5 | meta-GGA SCAN | PBEsol geometry

Cell and atoms, written as extended XYZ:
```
6
Lattice="4.9390 -1.5573 0.0000 4.9390 1.5573 0.0000 -1.9710 0.0000 5.9129" Properties=species:S:1:pos:R:3 pbc="T T T"
Re 0.0000 0.0000 0.0000
Mo -0.9855 0.0000 2.9565
Mo 2.9468 0.0000 0.9852
Mo 1.9933 0.0000 3.9417
Mo 5.9137 0.0000 1.9712
Mo 4.9602 0.0000 4.9277
```

Summary:
formation enthalpy at 0 K: 0.004 eV per atom



Ta2FeRe | meta-GGA SCAN | PBEsol geometry

Cell and atoms, written as extended XYZ:
```
4
Lattice="2.7486 -4.3009 0.0000 2.7486 4.3009 0.0000 -0.8962 0.0000 2.5714" Properties=species:S:1:pos:R:3 pbc="T T T"
Ta 1.3743 2.1504 0.0000
Ta 1.3743 -2.1504 0.0000
Fe -0.4481 0.0000 1.2857
Re 2.3005 0.0000 1.2857
```

Summary:
formation enthalpy at 0 K: -0.102 eV per atom



MnHg2Sb | meta-GGA SCAN | PBEsol geometry

Cell and atoms, written as extended XYZ:
```
4
Lattice="2.1551 -2.1643 0.0000 2.1551 2.1643 0.0000 0.0000 0.0000 9.0317" Properties=species:S:1:pos:R:3 pbc="T T T"
Mn 0.0000 0.0000 0.0000
Hg 0.0000 0.0000 4.7167
Hg 2.1551 0.0000 7.2003
Sb 2.1551 0.0000 1.8168
```

Summary:
uncorrected formation energy: 76.7 meV per atom



NaTi8O13 | meta-GGA SCAN | PBEsol geometry

Cell and atoms, written as extended XYZ:
```
22
Lattice="3.8345 2.2139 4.6580 -3.8345 2.2139 4.6580 0.0000 -4.4277 4.6580" Properties=species:S:1:pos:R:3 pbc="T T T"
Na 0.0000 0.0000 0.0000
Ti -1.6865 -0.2113 5.8635
Ti 0.0000 0.0000 3.2165
Ti -0.6603 -1.5662 8.1105
Ti 1.0262 -1.3550 5.8635
Ti -1.0262 1.3550 8.1105
Ti 0.6603 1.5662 5.8635
Ti 0.0000 0.0000 10.7575
Ti 1.6865 0.2113 8.1105
O -2.2759 -1.7541 7.0671
O -0.5767 -1.4676 4.5965
O -2.6570 1.0940 6.9069
O -0.9826 1.2332 4.5965
O 0.3811 -2.8481 6.9069
O -1.5593 -0.2343 9.3775
O 0.0000 0.0000 6.9870
O 1.5593 0.2343 4.5965
O -0.3811 2.8481 7.0671
O 0.9826 -1.2332 9.3775
O 2.6570 -1.0940 7.0671
O 0.5767 1.4676 9.3775
O 2.2759 1.7541 6.9069
```

Summary:
uncorrected formation energy: -3100.5 meV per atom



Cd2SbSe | meta-GGA SCAN | PBEsol geometry

Cell and atoms, written as extended XYZ:
```
4
Lattice="1.8946 1.0938 7.7090 -1.8946 1.0938 7.7090 0.0000 -2.1876 7.7090" Properties=species:S:1:pos:R:3 pbc="T T T"
Cd 0.0000 0.0000 0.0000
Cd 0.0000 0.0000 5.7759
Sb 0.0000 0.0000 11.4057
Se 0.0000 0.0000 17.1954
```

Summary:
uncorrected formation energy: -1.2 meV per atom



The following magnetization values (in μB/atom) correspond, in order, to the records above: 0.000 0.000 0.479 0.968 0.000 0.000.
The following E values (in eV per atom) correspond, in order, to the records above: -14.818 -40.917 -55.700 -47.885 -12.803 -29.543.